No. 1
Computed, not measured: a geometry-optimized In2Ag2Pd structure at the PBE-GGA level of DFT.

Computed properties:
- ΔE to the lowest computed polymorph: 784 meV per atom

Geometry as extended XYZ:
```
5
Lattice="-1.371 0.524 -4.934 -3.447 -3.782 0.556 -3.773 3.650 1.437" Properties=species:S:1:pos:R:3 pbc="T T T"
Pd -4.296 0.196 -1.471
Ag -1.724 -1.891 0.278
Ag -0.686 0.262 -2.467
In 0.000 0.000 0.000
In -1.887 1.825 0.718
```

***

No. 2
Computed, not measured: a geometry-optimized InAg5Pd6 structure at the PBE-GGA level of DFT.

Computed properties:
- Electronic total energy: -4.165 eV per atom

Geometry as extended XYZ:
```
12
Lattice="4.344 -0.023 1.448 0.030 6.424 0.010 0.001 -0.011 7.237" Properties=species:S:1:pos:R:3 pbc="T T T"
Pd 3.656 4.799 3.588
Pd 3.641 1.579 3.583
Pd 2.179 1.551 0.726
Pd 2.195 4.850 0.732
Pd 0.735 4.810 5.112
Pd 0.720 1.590 5.107
Ag 2.914 3.189 5.790
Ag 1.430 -0.011 2.952
Ag 0.015 3.212 0.005
Ag 2.916 -0.023 5.733
Ag 1.462 3.200 2.905
In 0.000 0.000 0.000
```

***

No. 3
Computed, not measured: a geometry-optimized InAg4Pd5 structure at the PBE-GGA level of DFT.

Computed properties:
- Electronic total energy: -3.927 eV per atom

Geometry as extended XYZ:
```
10
Lattice="-0.815 4.526 -2.507 -0.016 -0.551 -6.462 -6.255 1.265 -1.154" Properties=species:S:1:pos:R:3 pbc="T T T"
In -0.164 0.909 -0.503
Ag -4.818 2.499 -4.395
Ag -4.434 3.975 -7.327
Ag -2.582 0.876 -2.580
Ag -2.199 2.352 -5.512
Pd -6.273 4.624 -5.501
Pd -4.083 1.164 -6.988
Pd -2.925 3.640 -2.893
Pd -0.735 0.180 -4.380
Pd -0.550 3.054 -1.692
```

***

No. 4
Computed, not measured: a geometry-optimized InAg3Pd6 structure at the PBE-GGA level of DFT.

Computed properties:
- ΔE to the lowest computed polymorph: 0 meV per atom

Geometry as extended XYZ:
```
20
Lattice="4.103 0.000 0.000 0.000 8.761 -1.452 0.000 1.158 9.035" Properties=species:S:1:pos:R:3 pbc="T T T"
In 1.026 8.935 4.234
In 3.077 0.984 3.349
Ag 1.026 5.317 2.827
Ag 3.077 4.602 4.756
Ag 1.026 3.936 6.703
Ag 3.077 5.983 0.880
Ag 1.026 6.574 -1.056
Ag 3.077 3.344 8.639
Pd 1.026 4.074 0.237
Pd 3.077 5.844 7.346
Pd 1.026 1.594 1.508
Pd 3.077 8.325 6.075
Pd 1.026 6.461 5.432
Pd 3.077 3.457 2.151
Pd 1.026 2.684 4.121
Pd 3.077 7.234 3.462
Pd 1.026 7.911 1.542
Pd 3.077 2.007 6.042
Pd 1.026 1.452 8.087
Pd 3.077 8.466 -0.504
```

***

No. 5
Computed, not measured: a geometry-optimized InAg2Pd7 structure at the PBE-GGA level of DFT.

Computed properties:
- Electronic total energy: -4.134 eV per atom

Geometry as extended XYZ:
```
10
Lattice="-0.056 -2.561 3.390 -0.546 -6.207 -4.698 6.715 3.119 2.466" Properties=species:S:1:pos:R:3 pbc="T T T"
In 0.000 0.000 0.000
Ag 1.606 -4.688 -0.852
Ag 4.507 -0.962 2.011
Pd 0.819 -4.455 -3.352
Pd 5.351 1.366 1.120
Pd 1.830 -0.918 2.000
Pd 4.283 -4.732 -0.841
Pd 0.381 -2.779 0.570
Pd 5.732 -2.871 0.588
Pd 3.057 -2.825 0.579
```

***

No. 6
Computed, not measured: a geometry-optimized In2Ag2Pd structure at the PBE-GGA level of DFT.

Computed properties:
- ΔE to the lowest computed polymorph: 3 meV per atom

Geometry as extended XYZ:
```
10
Lattice="-4.154 4.522 -4.040 0.644 -4.541 -5.744 -3.092 -1.846 1.113" Properties=species:S:1:pos:R:3 pbc="T T T"
Pd 0.000 0.000 0.000
Pd -1.755 -0.009 -4.892
Ag -1.729 -3.196 -3.723
Ag -3.670 -1.899 -6.963
Ag -4.873 1.331 -4.948
Ag -2.933 0.034 -1.709
In -0.882 -2.277 -6.228
In -3.079 0.829 -7.180
In -2.628 2.258 -3.556
In -0.431 -0.848 -2.605
```

***

No. 7
Computed, not measured: a geometry-optimized InAg2Pd4 structure at the PBE-GGA level of DFT.

Computed properties:
- ΔE to the lowest computed polymorph: 9 meV per atom

Geometry as extended XYZ:
```
7
Lattice="4.512 0.000 0.000 2.256 3.908 0.000 2.256 1.303 7.248" Properties=species:S:1:pos:R:3 pbc="T T T"
In 0.000 0.000 0.000
Ag 6.768 3.908 5.408
Ag 2.256 1.303 1.840
Pd 6.768 3.908 2.737
Pd 2.256 1.303 4.511
Pd 4.512 2.605 1.003
Pd 4.512 2.605 6.245
```

***

No. 8
Computed, not measured: a geometry-optimized In2AgPd3 structure at the PBE-GGA level of DFT.

Computed properties:
- Electronic total energy: -4.372 eV per atom

Geometry as extended XYZ:
```
6
Lattice="-2.570 -0.960 1.822 1.321 -3.003 0.282 4.634 2.791 8.009" Properties=species:S:1:pos:R:3 pbc="T T T"
In 3.210 0.328 7.678
In 0.176 -1.500 2.434
Ag 1.693 -0.586 5.056
Pd 0.000 0.000 0.000
Pd 3.110 1.873 5.375
Pd 1.524 0.918 2.634
```

***

No. 9
Computed, not measured: a geometry-optimized InAg5Pd4 structure at the PBE-GGA level of DFT.

Computed properties:
- Electronic total energy: -3.839 eV per atom

Geometry as extended XYZ:
```
10
Lattice="-1.015 2.048 -3.711 -6.732 -0.617 1.500 3.848 4.634 4.065" Properties=species:S:1:pos:R:3 pbc="T T T"
In -0.507 1.024 -1.856
Ag -0.290 4.744 0.138
Ag -4.363 3.923 0.799
Ag 0.464 2.142 1.055
Ag -3.873 0.716 -1.105
Ag -3.609 1.322 1.716
Pd -1.796 3.284 2.303
Pd -2.447 5.921 1.377
Pd -2.103 2.782 -0.449
Pd -1.452 0.144 0.477
```

***

No. 10
Computed, not measured: a geometry-optimized In3Ag2Pd3 structure at the PBE-GGA level of DFT.

Computed properties:
- Electronic total energy: -3.983 eV per atom

Geometry as extended XYZ:
```
16
Lattice="5.417 0.000 0.000 0.000 8.081 0.000 0.000 -4.040 6.998" Properties=species:S:1:pos:R:3 pbc="T T T"
In 4.063 5.926 0.000
In 4.063 1.077 1.866
In 4.063 -2.963 5.132
In 1.354 2.155 0.000
In 1.354 2.963 5.132
In 1.354 -1.077 1.866
Ag 0.000 0.000 4.665
Ag 2.709 4.040 2.333
Ag 0.000 4.040 2.333
Ag 2.709 0.000 4.665
Pd 4.063 3.062 0.000
Pd 4.063 2.509 4.346
Pd 4.063 -1.531 2.651
Pd 1.354 5.019 0.000
Pd 1.354 1.531 2.651
Pd 1.354 -2.509 4.346
```

***

No. 11
Computed, not measured: a geometry-optimized InAg2Pd6 structure at the PBE-GGA level of DFT.

Computed properties:
- ΔE to the lowest computed polymorph: 0 meV per atom

Geometry as extended XYZ:
```
9
Lattice="-0.174 2.662 3.860 2.913 -3.393 -0.381 4.988 5.568 -3.615" Properties=species:S:1:pos:R:3 pbc="T T T"
In 2.494 2.784 -1.807
Ag 5.570 2.673 -1.593
Ag 2.158 2.163 1.457
Pd 5.580 5.872 -0.946
Pd 2.149 -1.036 0.811
Pd 3.531 0.216 2.862
Pd 3.821 0.827 -0.398
Pd 4.198 4.621 -2.997
Pd 3.907 4.009 0.263
```

***

No. 12
Computed, not measured: a geometry-optimized InAg2Pd8 structure at the PBE-GGA level of DFT.

Computed properties:
- ΔE to the lowest computed polymorph: 0 meV per atom

Geometry as extended XYZ:
```
11
Lattice="3.901 -0.885 -0.697 -1.110 6.726 -2.907 -0.682 0.522 7.361" Properties=species:S:1:pos:R:3 pbc="T T T"
In 2.308 -0.480 -0.386
Ag 1.262 3.892 0.061
Ag 1.399 1.913 3.336
Pd 2.696 2.007 -1.352
Pd 2.846 -0.161 2.236
Pd -0.636 3.297 2.019
Pd -0.433 1.393 5.570
Pd -0.720 5.558 -1.322
Pd 1.890 4.591 2.695
Pd -0.131 6.021 1.393
Pd 0.006 4.031 4.686
```

***

Number 1: density 6.4 Mg/m³. Number 2: density 10.6 Mg/m³. Number 3: density 9.7 Mg/m³. Number 4: density 10.8 Mg/m³. Number 5: density 8.4 Mg/m³. Number 6: density 9.0 Mg/m³. Number 7: density 9.8 Mg/m³. Number 8: density 10.4 Mg/m³. Number 9: density 9.7 Mg/m³. Number 10: density 9.5 Mg/m³. Number 11: density 10.8 Mg/m³. Number 12: density 10.5 Mg/m³.